# 1
## CrGe2Se2 (SCAN)

Data for a crystal of CrGe2Se2 relaxed with PBEsol.

Properties
total DFT energy (no corrections)	-19.222	eV per atom

Cell lengths 3.518, 3.518, 15.697 Å; angles 90.00, 90.00, 90.00 degrees
Space group I4/mmm (No. 139)
Symmetry-distinct sites (fractional):
Cr (0.000, 0.000, 0.000) (multiplicity 2)
Ge (0.000, 0.500, 0.250) (multiplicity 4)
Se (0.000, 0.000, 0.411) (multiplicity 4)

---

# 2
## MgCd2BiIr (SCAN)

Data for a crystal of MgCd2BiIr relaxed with PBEsol.

Properties
E_form	0.830	eV/atom

Cell lengths 4.992, 4.992, 4.682 Å; angles 90.00, 90.00, 90.00 degrees
Space group P4/mmm (No. 123)
Symmetry-distinct sites (fractional):
Mg (0.000, 0.000, 0.000) (multiplicity 1)
Cd (0.000, 0.500, 0.000) (multiplicity 2)
Bi (0.500, 0.500, 0.500) (multiplicity 1)
Ir (0.000, 0.000, 0.500) (multiplicity 1)

---

# 3
## Ca3Ni3P2 (SCAN)

Data for a crystal of Ca3Ni3P2 relaxed with PBEsol.

Properties
E_form	-0.684	eV/atom

Cell lengths 9.087, 3.842, 17.219 Å; angles 90.00, 90.00, 90.00 degrees
Space group Pnma (No. 62)
Symmetry-distinct sites (fractional):
Ca (0.108, 0.250, 0.069) (multiplicity 4)
Ca (0.123, 0.250, 0.679) (multiplicity 4)
Ca (0.146, 0.250, 0.435) (multiplicity 4)
Ni (0.056, 0.750, 0.193) (multiplicity 4)
Ni (0.123, 0.750, 0.815) (multiplicity 4)
Ni (0.198, 0.750, 0.309) (multiplicity 4)
P (0.122, 0.250, 0.894) (multiplicity 4)
P (0.123, 0.250, 0.253) (multiplicity 4)

---

# 4
## Li2P2Au (SCAN)

Data for a crystal of Li2P2Au relaxed with PBEsol.

Properties
E_form	-0.509	eV/atom

Cell lengths 6.282, 6.282, 3.951 Å; angles 90.00, 90.00, 90.00 degrees
Space group P4/mbm (No. 127)
Symmetry-distinct sites (fractional):
Li (0.175, 0.325, 0.000) (multiplicity 4)
P (0.122, 0.622, 0.500) (multiplicity 4)
Au (0.000, 0.000, 0.500) (multiplicity 2)

---

# 5
## Y4TaMn (SCAN)

Data for a crystal of Y4TaMn relaxed with PBEsol.

Properties
E_form	0.827	eV/atom

Cell lengths 8.501, 8.501, 8.501 Å; angles 90.00, 90.00, 90.00 degrees
Space group F-43m (No. 216)
Symmetry-distinct sites (fractional):
Y (0.124, 0.124, 0.124) (multiplicity 16)
Ta (0.250, 0.250, 0.750) (multiplicity 4)
Mn (0.000, 0.000, 0.500) (multiplicity 4)

---

# 6
## La3YSb (SCAN)

Data for a crystal of La3YSb relaxed with PBEsol.

Properties
total DFT energy (no corrections)	-38.526	eV per atom

Cell lengths 5.551, 5.551, 5.551 Å; angles 90.00, 90.00, 90.00 degrees
Space group Pm-3m (No. 221)
Symmetry-distinct sites (fractional):
La (0.000, 0.000, 0.500) (multiplicity 3)
Y (0.000, 0.000, 0.000) (multiplicity 1)
Sb (0.500, 0.500, 0.500) (multiplicity 1)

---

# 7
## Sb2IrSe (SCAN)

Data for a crystal of Sb2IrSe relaxed with PBEsol.

Properties
total DFT energy (no corrections)	-41.186	eV per atom

Cell lengths 3.326, 3.326, 7.333 Å; angles 90.00, 90.00, 90.00 degrees
Space group P4/mmm (No. 123)
Symmetry-distinct sites (fractional):
Sb (0.000, 0.000, 0.220) (multiplicity 2)
Ir (0.500, 0.500, 0.000) (multiplicity 1)
Se (0.500, 0.500, 0.500) (multiplicity 1)

---

# 8
## Zr2BiB (SCAN)

Data for a crystal of Zr2BiB relaxed with PBEsol.

Properties
E_form	0.376	eV/atom

Cell lengths 6.726, 6.726, 6.726 Å; angles 90.00, 90.00, 90.00 degrees
Space group Fm-3m (No. 225)
Symmetry-distinct sites (fractional):
Zr (0.250, 0.250, 0.250) (multiplicity 8)
Bi (0.000, 0.000, 0.000) (multiplicity 4)
B (0.000, 0.000, 0.500) (multiplicity 4)

---

# 9
## FeBi3Br (SCAN)

Data for a crystal of FeBi3Br relaxed with PBEsol.

Properties
total DFT energy (no corrections)	-54.337	eV per atom

Cell lengths 5.139, 5.139, 5.139 Å; angles 90.00, 90.00, 90.00 degrees
Space group Pm-3m (No. 221)
Symmetry-distinct sites (fractional):
Fe (0.000, 0.000, 0.000) (multiplicity 1)
Bi (0.000, 0.000, 0.500) (multiplicity 3)
Br (0.500, 0.500, 0.500) (multiplicity 1)

---

# 10
## Cr2FeTc (SCAN)

Data for a crystal of Cr2FeTc relaxed with PBEsol.

Properties
offset from the most stable computed form	6	kJ/mol of formula units
E_form	0.078	eV/atom

Cell lengths 4.985, 8.167, 2.480 Å; angles 90.00, 109.92, 90.00 degrees
Space group C2/m (No. 12)
Symmetry-distinct sites (fractional):
Cr (0.250, 0.250, 0.000) (multiplicity 4)
Fe (0.000, 0.000, 0.500) (multiplicity 2)
Tc (0.000, 0.500, 0.500) (multiplicity 2)

---

# 11
## Cr3IrPt (SCAN)

Data for a crystal of Cr3IrPt relaxed with PBEsol.

Properties
E_form	0.974	eV/atom

Cell lengths 4.550, 4.550, 4.550 Å; angles 90.00, 90.00, 90.00 degrees
Space group Pm-3m (No. 221)
Symmetry-distinct sites (fractional):
Cr (0.000, 0.000, 0.500) (multiplicity 3)
Ir (0.000, 0.000, 0.000) (multiplicity 1)
Pt (0.500, 0.500, 0.500) (multiplicity 1)

---

# 12
## RbCd2Au2 (SCAN)

Data for a crystal of RbCd2Au2 relaxed with PBEsol.

Properties
offset from the most stable computed form	38	kJ/mol of formula units
E_form	-0.225	eV/atom

Cell lengths 8.725, 8.725, 2.906 Å; angles 90.00, 90.00, 90.00 degrees
Space group P4/mbm (No. 127)
Symmetry-distinct sites (fractional):
Rb (0.000, 0.000, 0.000) (multiplicity 2)
Cd (0.126, 0.374, 0.500) (multiplicity 4)
Au (0.168, 0.668, 0.000) (multiplicity 4)

---

no.,Fermi-level density of states (states/eV per atom),spin magnetization (μB per formula unit)
1,0.471,3.68
2,0.416,0.00
3,0.552,0.00
4,0.242,0.00
5,0.758,2.72
6,0.875,0.00
7,0.590,0.00
8,1.425,0.00
9,0.835,3.39
10,0.666,2.69
11,0.643,10.29
12,0.198,0.00